Entry 1:
KVH6SO9 | PBE with a Hubbard U | relaxed

```
data_KVH6SO9
_chemical_formula_sum 'K2 V2 H12 S2 O18'
_cell_length_a 6.2780
_cell_length_b 9.9153
_cell_length_c 6.5894
_cell_angle_alpha 90.00
_cell_angle_beta 107.03
_cell_angle_gamma 90.00
_space_group_name_H-M_alt 'P 1 21 1'
_space_group_IT_number 4
loop_
_space_group_symop_operation_xyz
'x,y,z'
'-x,y+1/2,-z'
loop_
_atom_site_label
_atom_site_fract_x
_atom_site_fract_y
_atom_site_fract_z
K1 0.1949 0.0000 0.1833
V1 0.1188 0.3502 0.3825
H1 0.0314 0.1145 0.6588
H2 0.1914 0.6149 0.2601
H3 0.2688 0.5625 0.6969
H4 0.3100 0.4292 0.8267
H5 0.3885 0.6948 0.0715
H6 0.4700 0.2011 0.6910
S1 0.4176 0.8509 0.7327
O1 0.0443 0.2899 0.1390
O2 0.0628 0.5575 0.2767
O3 0.1827 0.2112 0.5374
O4 0.1863 0.8785 0.5835
O5 0.2076 0.4706 0.6985
O6 0.3756 0.7107 0.2143
O7 0.4355 0.3968 0.4008
O8 0.4455 0.7054 0.7795
O9 0.4596 0.9329 0.9245
```

Computed properties:
Magnetic moment = 0.01 μB per atom
Fermi-level density of states = 0.00 states/eV/cell
Total DFT energy (no corrections) = -102.30 eV per formula unit



Entry 2:
K4H6W2S2O9 | PBE with a Hubbard U | relaxed

```
data_K4H6W2S2O9
_chemical_formula_sum 'K16 H24 W8 S8 O36'
_cell_length_a 10.0786
_cell_length_b 8.4606
_cell_length_c 19.0269
_cell_angle_alpha 90.00
_cell_angle_beta 99.71
_cell_angle_gamma 90.00
_space_group_name_H-M_alt 'C 1 2/c 1'
_space_group_IT_number 15
loop_
_space_group_symop_operation_xyz
'x,y,z'
'-x,-y,-z'
'-x,y,-z+1/2'
'x,-y,z+1/2'
'x+1/2,y+1/2,z'
'-x+1/2,-y+1/2,-z'
'-x+1/2,y+1/2,-z+1/2'
'x+1/2,-y+1/2,z+1/2'
loop_
_atom_site_label
_atom_site_fract_x
_atom_site_fract_y
_atom_site_fract_z
K1 0.0633 0.1955 0.0615
K2 0.2088 0.0094 0.7839
H1 0.0040 0.2869 0.2101
H2 0.2371 0.3143 0.5798
H3 0.2468 0.0354 0.4654
W1 0.0748 0.3829 0.8802
S1 0.0705 0.1775 0.6219
O1 0.0000 0.2121 0.2500
O2 0.0176 0.4386 0.1500
O3 0.1631 0.4101 0.9702
O4 0.1967 0.1038 0.4275
O5 0.1986 0.3364 0.8251
```

Computed properties:
Magnetic moment = 0.00 μB per atom
Fermi-level density of states = 0.00 states/eV/cell
Total DFT energy (no corrections) = -126.10 eV per formula unit



Entry 3:
K3HWS4O | PBE with a Hubbard U | relaxed

```
data_K3HWS4O
_chemical_formula_sum 'K6 H2 W2 S8 O2'
_cell_length_a 9.7355
_cell_length_b 6.5218
_cell_length_c 8.3337
_cell_angle_alpha 90.00
_cell_angle_beta 90.00
_cell_angle_gamma 90.00
_space_group_name_H-M_alt 'P m n 21'
_space_group_IT_number 31
loop_
_space_group_symop_operation_xyz
'x,y,z'
'-x+1/2,-y,z+1/2'
'-x,y,z'
'x+1/2,-y,z+1/2'
loop_
_atom_site_label
_atom_site_fract_x
_atom_site_fract_y
_atom_site_fract_z
K1 0.0000 0.9997 0.0000
K2 0.2280 0.3956 0.7493
H1 0.0000 0.4067 0.1719
W1 0.0000 0.0011 0.4925
S1 0.0000 0.5039 0.0285
S2 0.0000 0.6607 0.5272
S3 0.1869 0.0936 0.3528
O1 0.0000 0.1314 0.6821
```

Computed properties:
Magnetic moment = 0.00 μB per atom
Fermi-level density of states = 0.00 states/eV/cell
Total DFT energy (no corrections) = -45.97 eV per formula unit



> Look up the magnetic moment of the third one.

0.00 μB per atom